# GGA-PBE Sm6Bi2Ru, relaxed
# Magnetic moment   0.001 μB per atom
# Energy of formation   -0.442 eV per atom
data_Sm6Bi2Ru
_chemical_formula_sum 'Sm12 Bi4 Ru2'
_symmetry_space_group_name_H-M 'P 1 21/c 1'
_symmetry_Int_Tables_number 14
_symmetry_space_group_name_Hall '-P 2ybc'
_cell_length_a 6.5219
_cell_length_b 8.2424
_cell_length_c 12.1988
_cell_angle_alpha 90.00
_cell_angle_beta 120.31
_cell_angle_gamma 90.00
loop_
_atom_site_label
_atom_site_type_symbol
_atom_site_fract_x
_atom_site_fract_y
_atom_site_fract_z
_atom_site_occupancy
Sm1 Sm 0.0969 0.1785 0.4571 1
Sm2 Sm 0.3182 0.6835 0.4591 1
Sm3 Sm 0.3689 0.0216 0.2503 1
Bi1 Bi 0.1604 0.1124 0.7515 1
Ru1 Ru 0.5000 0.0000 0.5000 1

---

# GGA-PBE GaFeP2S, relaxed
# Uncorrected formation energy   1.7 eV per formula unit
# Magnetic moment   0.000 μB per atom
# Polymorph energy (0 for the lowest one)   0 meV/atom
data_GaFeP2S
_chemical_formula_sum 'Ga1 Fe1 P2 S1'
_symmetry_space_group_name_H-M 'P 4/m m m'
_symmetry_Int_Tables_number 123
_symmetry_space_group_name_Hall '-P 4 2'
_cell_length_a 4.1852
_cell_length_b 4.1852
_cell_length_c 5.2149
_cell_angle_alpha 90.00
_cell_angle_beta 90.00
_cell_angle_gamma 90.00
loop_
_atom_site_label
_atom_site_type_symbol
_atom_site_fract_x
_atom_site_fract_y
_atom_site_fract_z
_atom_site_occupancy
Ga1 Ga 0.0000 0.0000 0.0000 1
Fe1 Fe 0.5000 0.5000 0.5000 1
P1 P 0.0000 0.5000 0.5000 1
S1 S 0.5000 0.5000 0.0000 1

---

# GGA-PBE PmNd4Dy2Er, relaxed
# Magnetic moment   0.000 μB per atom
# Energy of formation   0.016 eV per atom
data_PmNd4Dy2Er
_chemical_formula_sum 'Pm1 Nd4 Dy2 Er1'
_symmetry_space_group_name_H-M 'P 1 2/m 1'
_symmetry_Int_Tables_number 10
_symmetry_space_group_name_Hall '-P 2y'
_cell_length_a 6.2701
_cell_length_b 3.6339
_cell_length_c 11.9426
_cell_angle_alpha 90.00
_cell_angle_beta 100.24
_cell_angle_gamma 90.00
loop_
_atom_site_label
_atom_site_type_symbol
_atom_site_fract_x
_atom_site_fract_y
_atom_site_fract_z
_atom_site_occupancy
Pm1 Pm 0.0000 0.0000 0.0000 1
Nd1 Nd 0.2504 0.0000 0.7484 1
Nd2 Nd 0.2503 0.5000 0.2524 1
Dy1 Dy 0.5000 0.0000 0.5000 1
Dy2 Dy 0.5000 0.5000 0.0000 1
Er1 Er 0.0000 0.5000 0.5000 1

---

# GGA-PBE FeCu2Si, relaxed
# Uncorrected formation energy   0.4 eV per formula unit
# Magnetic moment   0.661 μB per atom
data_FeCu2Si
_chemical_formula_sum 'Fe3 Cu6 Si3'
_symmetry_space_group_name_H-M 'R -3 m'
_symmetry_Int_Tables_number 166
_symmetry_space_group_name_Hall '-R 3 2"'
_cell_length_a 2.6068
_cell_length_b 2.6068
_cell_length_c 24.9879
_cell_angle_alpha 90.00
_cell_angle_beta 90.00
_cell_angle_gamma 120.00
loop_
_atom_site_label
_atom_site_type_symbol
_atom_site_fract_x
_atom_site_fract_y
_atom_site_fract_z
_atom_site_occupancy
Fe1 Fe 0.0000 0.0000 0.0000 1
Cu1 Cu 0.0000 0.0000 0.2480 1
Si1 Si 0.0000 0.0000 0.5000 1

---

# GGA-PBE Ca2HfAs2, relaxed
# Magnetic moment   0.000 μB per atom
# Energy of formation   -0.881 eV per atom
data_Ca2HfAs2
_chemical_formula_sum 'Ca4 Hf2 As4'
_symmetry_space_group_name_H-M 'P 4/m b m'
_symmetry_Int_Tables_number 127
_symmetry_space_group_name_Hall '-P 4 2ab'
_cell_length_a 7.4656
_cell_length_b 7.4656
_cell_length_c 4.2146
_cell_angle_alpha 90.00
_cell_angle_beta 90.00
_cell_angle_gamma 90.00
loop_
_atom_site_label
_atom_site_type_symbol
_atom_site_fract_x
_atom_site_fract_y
_atom_site_fract_z
_atom_site_occupancy
Ca1 Ca 0.1503 0.3497 0.0000 1
Hf1 Hf 0.0000 0.0000 0.5000 1
As1 As 0.1633 0.6633 0.5000 1

---

# GGA-PBE ScCdGe, relaxed
# Magnetic moment   0.000 μB per atom
# Energy of formation   -0.478 eV per atom
data_ScCdGe
_chemical_formula_sum 'Sc4 Cd4 Ge4'
_symmetry_space_group_name_H-M 'I 4/m m m'
_symmetry_Int_Tables_number 139
_symmetry_space_group_name_Hall '-I 4 2'
_cell_length_a 4.0432
_cell_length_b 4.0432
_cell_length_c 14.8664
_cell_angle_alpha 90.00
_cell_angle_beta 90.00
_cell_angle_gamma 90.00
loop_
_atom_site_label
_atom_site_type_symbol
_atom_site_fract_x
_atom_site_fract_y
_atom_site_fract_z
_atom_site_occupancy
Sc1 Sc 0.0000 0.0000 0.1688 1
Cd1 Cd 0.0000 0.5000 0.0000 1
Ge1 Ge 0.0000 0.0000 0.3525 1

---

# GGA-PBE BeCo2As, relaxed
# Magnetic moment   0.155 μB per atom
# Polymorph energy (0 for the lowest one)   66 meV/atom
# Energy of formation   -0.116 eV per atom
data_BeCo2As
_chemical_formula_sum 'Be2 Co4 As2'
_symmetry_space_group_name_H-M 'C 1 m 1'
_symmetry_Int_Tables_number 8
_symmetry_space_group_name_Hall 'C -2y'
_cell_length_a 8.2488
_cell_length_b 2.7830
_cell_length_c 3.9275
_cell_angle_alpha 90.00
_cell_angle_beta 105.95
_cell_angle_gamma 90.00
loop_
_atom_site_label
_atom_site_type_symbol
_atom_site_fract_x
_atom_site_fract_y
_atom_site_fract_z
_atom_site_occupancy
Be1 Be 0.0000 0.0000 0.0000 1
Co1 Co 0.0028 0.5000 0.4891 1
Co2 Co 0.2343 0.5000 0.1044 1
As1 As 0.2455 0.0000 0.6246 1

---

# GGA-PBE Tb2PrSmDy4, relaxed
# Magnetic moment   0.000 μB per atom
# Energy of formation   0.015 eV per atom
data_Tb2PrSmDy4
_chemical_formula_sum 'Tb8 Pr4 Sm4 Dy16'
_symmetry_space_group_name_H-M 'C 1 2/m 1'
_symmetry_Int_Tables_number 12
_symmetry_space_group_name_Hall '-C 2y'
_cell_length_a 12.4015
_cell_length_b 7.1621
_cell_length_c 12.3743
_cell_angle_alpha 90.00
_cell_angle_beta 109.54
_cell_angle_gamma 90.00
loop_
_atom_site_label
_atom_site_type_symbol
_atom_site_fract_x
_atom_site_fract_y
_atom_site_fract_z
_atom_site_occupancy
Tb1 Tb 0.0000 0.0000 0.0000 1
Tb2 Tb 0.0000 0.0000 0.5000 1
Tb3 Tb 0.2500 0.2500 0.0000 1
Pr1 Pr 0.2500 0.2500 0.5000 1
Sm1 Sm 0.0000 0.5000 0.0000 1
Sm2 Sm 0.0000 0.5000 0.5000 1
Dy1 Dy 0.0011 0.2497 0.7519 1
Dy2 Dy 0.2492 0.0000 0.2477 1
Dy3 Dy 0.2494 0.5000 0.2479 1

---

no.,DOS(E_F) (states/eV per atom)
1,1.2386
2,0.6426
3,1.3542
4,0.7207
5,0.0845
6,0.3038
7,0.7689
8,1.3213